# PBE-GGA SmErMg2, relaxed
# - excess energy over the best structure of this formula in the dataset (meV/atom) = 0.0
# - formation enthalpy at 0 K (kcal/mol of atoms) = -2.1
# - mass density (g cm⁻³) = 5.53
data_SmErMg2
_symmetry_space_group_name_H-M 'F m -3 m'
_symmetry_Int_Tables_number 225
_symmetry_space_group_name_Hall '-F 4 2 3'
_cell_length_a 7.6062
_cell_length_b 7.6062
_cell_length_c 7.6062
_cell_angle_alpha 90.00
_cell_angle_beta 90.00
_cell_angle_gamma 90.00
loop_
_atom_site_label
_atom_site_type_symbol
_atom_site_fract_x
_atom_site_fract_y
_atom_site_fract_z
Sm1 Sm 0.0000 0.0000 0.0000
Er1 Er 0.0000 0.0000 0.5000
Mg1 Mg 0.2500 0.2500 0.2500